BaInPt: relaxed, PBE.

```
BaInPt
1.0
0.000 3.749 3.749
3.749 0.000 3.749
3.749 3.749 0.000
Ba In Pt
1 1 1
direct
0.000 0.000 0.000
0.750 0.750 0.750
0.250 0.250 0.250
```

Output
The space group is No. 216. The calculation puts the theoretical density at 7045 kg/m3. As for the volume: 105.42 Å³ per cell. Its formation energy is 0.16 eV per atom. The calculation puts the calculated total energy at -3.407 eV/atom. The density of states at the Fermi level is 0.9041 states/eV/atom.